# 1
# Mg4FeSn, optimized geometry, DFT GGA-PBE
data_Mg4FeSn
_cell_length_a 8.237
_cell_length_b 8.237
_cell_length_c 4.858
_cell_angle_alpha 106.89
_cell_angle_beta 106.89
_cell_angle_gamma 54.88
_space_group_name_H-M_alt 'P 1'
_space_group_IT_number 1
_space_group_name_Hall 'P 1'
loop_
_atom_site_label
_atom_site_type_symbol
_atom_site_fract_x
_atom_site_fract_y
_atom_site_fract_z
_atom_site_occupancy
Mg1 Mg 0.130 0.606 0.368 1
Mg2 Mg 0.196 0.804 0.000 1
Mg3 Mg 0.324 0.324 0.825 1
Mg4 Mg 0.394 0.870 0.632 1
Mg5 Mg 0.606 0.130 0.368 1
Mg6 Mg 0.676 0.676 0.175 1
Mg7 Mg 0.804 0.196 0.000 1
Mg8 Mg 0.870 0.394 0.632 1
Fe1 Fe 0.500 0.500 0.259 1
Fe2 Fe 0.500 0.500 0.741 1
Sn1 Sn 0.185 0.185 0.188 1
Sn2 Sn 0.815 0.815 0.812 1
# - crystal system = monoclinic
# - space-group type = C2/m
# - energy of formation (eV/atom) = 0.02

***

# 2
# MgFeSn3, optimized geometry, DFT GGA-PBE
data_MgFeSn3
_cell_length_a 4.965
_cell_length_b 4.965
_cell_length_c 4.965
_cell_angle_alpha 90.00
_cell_angle_beta 90.00
_cell_angle_gamma 90.00
_space_group_name_H-M_alt 'P 1'
_space_group_IT_number 1
_space_group_name_Hall 'P 1'
loop_
_atom_site_label
_atom_site_type_symbol
_atom_site_fract_x
_atom_site_fract_y
_atom_site_fract_z
_atom_site_occupancy
Mg1 Mg 0.000 0.000 0.000 1
Fe1 Fe 0.500 0.500 0.500 1
Sn1 Sn 0.000 0.500 0.500 1
Sn2 Sn 0.500 0.000 0.500 1
Sn3 Sn 0.500 0.500 0.000 1
# - excess energy over the best structure of this formula in the dataset (eV/atom) = 0.000
# - crystal system = cubic
# - space-group type = Pm-3m
# - energy of formation (eV/atom) = 0.18

***

# 3
# SrMgFe2Sn, optimized geometry, DFT GGA-PBE
data_SrMgFe2Sn
_cell_length_a 4.731
_cell_length_b 4.731
_cell_length_c 5.353
_cell_angle_alpha 90.00
_cell_angle_beta 90.00
_cell_angle_gamma 90.00
_space_group_name_H-M_alt 'P 1'
_space_group_IT_number 1
_space_group_name_Hall 'P 1'
loop_
_atom_site_label
_atom_site_type_symbol
_atom_site_fract_x
_atom_site_fract_y
_atom_site_fract_z
_atom_site_occupancy
Sr1 Sr 0.000 0.000 0.000 1
Mg1 Mg 0.000 0.000 0.500 1
Fe1 Fe 0.000 0.500 0.500 1
Fe2 Fe 0.500 0.000 0.500 1
Sn1 Sn 0.500 0.500 0.000 1
# - crystal system = tetragonal
# - space-group type = P4/mmm
# - energy of formation (eV/atom) = 1.07

***

# 4
# MgFe2SnTe, optimized geometry, DFT GGA-PBE
data_MgFe2SnTe
_cell_length_a 4.751
_cell_length_b 4.751
_cell_length_c 5.215
_cell_angle_alpha 90.00
_cell_angle_beta 90.00
_cell_angle_gamma 90.00
_space_group_name_H-M_alt 'P 1'
_space_group_IT_number 1
_space_group_name_Hall 'P 1'
loop_
_atom_site_label
_atom_site_type_symbol
_atom_site_fract_x
_atom_site_fract_y
_atom_site_fract_z
_atom_site_occupancy
Mg1 Mg 0.000 0.000 0.000 1
Fe1 Fe 0.000 0.500 0.000 1
Fe2 Fe 0.500 0.000 0.000 1
Sn1 Sn 0.000 0.000 0.500 1
Te1 Te 0.500 0.500 0.500 1
# - ΔE_f (raw) (eV/atom) = 1.18
# - crystal system = tetragonal
# - space-group type = P4/mmm

***

Q: What is the formula in the third record?
A: SrMgFe2Sn

***

Copy entry 4 word for word.
# MgFe2SnTe, optimized geometry, DFT GGA-PBE
data_MgFe2SnTe
_cell_length_a 4.751
_cell_length_b 4.751
_cell_length_c 5.215
_cell_angle_alpha 90.00
_cell_angle_beta 90.00
_cell_angle_gamma 90.00
_space_group_name_H-M_alt 'P 1'
_space_group_IT_number 1
_space_group_name_Hall 'P 1'
loop_
_atom_site_label
_atom_site_type_symbol
_atom_site_fract_x
_atom_site_fract_y
_atom_site_fract_z
_atom_site_occupancy
Mg1 Mg 0.000 0.000 0.000 1
Fe1 Fe 0.000 0.500 0.000 1
Fe2 Fe 0.500 0.000 0.000 1
Sn1 Sn 0.000 0.000 0.500 1
Te1 Te 0.500 0.500 0.500 1
# - ΔE_f (raw) (eV/atom) = 1.18
# - crystal system = tetragonal
# - space-group type = P4/mmm